# Cu3Mo2O10 (PBE with a Hubbard U, relaxed)
# Fermi-level density of states, states/eV per atom: 0.0903
# Final energy, eV per atom: -6.0812
# Total magnetization, μB/atom: 0.067
data_Cu3Mo2O10
_chemical_formula_sum 'Cu6 Mo4 O20'
_cell_length_a 5.562
_cell_length_b 13.858
_cell_length_c 7.753
_cell_angle_alpha 90.00
_cell_angle_beta 132.42
_cell_angle_gamma 90.00
_symmetry_space_group_name_H-M 'P 1 21/c 1'
_symmetry_Int_Tables_number 14
loop_
_symmetry_equiv_pos_as_xyz
'x,y,z'
'-x,-y,-z'
'-x,y+1/2,-z+1/2'
'x,-y+1/2,z+1/2'
loop_
_atom_site_label
_atom_site_type_symbol
_atom_site_fract_x
_atom_site_fract_y
_atom_site_fract_z
Cu1 Cu 0.000 0.000 0.000
Cu2 Cu 0.340 0.071 0.537
Mo1 Mo 0.475 0.653 0.431
O1 O 0.091 0.615 0.151
O2 O 0.190 0.121 0.052
O3 O 0.252 0.517 0.817
O4 O 0.472 0.093 0.837
O5 O 0.483 0.722 0.961